This record from Alexandria via LeMat-Bulk describes a geometry-optimized Sr2TlIn structure. The functional is PBE.

Unit cell a=5.7790 b=5.7790 c=5.7790 alpha=60.00 beta=60.00 gamma=60.00
With the nearest neighbours (Å) after each atom.
Fractional positions:
In: 0.2500 0.2500 0.2500  8 Sr 3.54
Tl: 0.7500 0.7500 0.7500  8 Sr 3.54
Sr: 0.5000 0.5000 0.5000  4 Tl 3.54, 4 In 3.54
Sr: 0.0000 0.0000 0.0000  4 Tl 3.54, 4 In 3.54

## Properties
- SG: Fm-3m
- Density: 6.02 Mg/m³
- Total energy: -2.546 eV per atom
- Formation enthalpy at 0 K: -41 kJ/mol of atoms